Entry 1:
AlPdRh2 GGA-PBE relaxed; theoretical density = 9.85 g cm⁻³; uncorrected energy = -6.37 eV/atom; symmetry = P4/mmm (123); energy relative to the elements = -1.8 eV per formula unit; spin magnetization = 0.0 μB/cell
1.0
2.908 0.000 0.000
0.000 2.908 0.000
0.000 0.000 6.762
Rh Al Pd
2 1 1
direct
0.000 0.000 0.780
0.000 0.000 0.220
0.500 0.500 0.000
0.500 0.500 0.500

---

Entry 2:
AlPd3Rh GGA-PBE relaxed; theoretical density = 6.72 g cm⁻³; uncorrected energy = -4.32 eV/atom; symmetry = Pm-3m (221); energy relative to the elements = 5.1 eV per formula unit; spin magnetization = 1.3 μB/cell; polymorph energy (0 for the lowest one) = 519.9 meV per atom
1.0
4.805 0.000 0.000
0.000 4.805 0.000
0.000 0.000 4.805
Rh Al Pd
1 1 3
direct
0.000 0.000 0.000
0.500 0.500 0.500
0.000 0.500 0.000
0.000 0.000 0.500
0.500 0.000 0.000

---

Entry 3:
Al4Pd3Rh GGA-PBE relaxed; theoretical density = 7.70 g cm⁻³; uncorrected energy = -5.65 eV/atom; symmetry = P4/mmm (123); energy relative to the elements = -7.3 eV per formula unit; spin magnetization = 0.0 μB/cell
1.0
-1.053 -0.140 2.811
-2.511 -1.309 -1.006
5.355 -11.375 1.438
Rh Al Pd
1 4 3
direct
0.500 0.500 0.000
0.000 0.000 0.879
0.000 0.000 0.121
0.000 0.000 0.374
0.000 0.000 0.626
0.500 0.500 0.247
0.500 0.500 0.500
0.500 0.500 0.753

---

Entry 4:
Al4PdRh3 GGA-PBE relaxed; theoretical density = 7.86 g cm⁻³; uncorrected energy = -6.30 eV/atom; symmetry = P4/mmm (123); energy relative to the elements = -8.2 eV per formula unit; spin magnetization = 0.0 μB/cell
1.0
2.973 0.000 0.000
0.000 2.973 0.000
0.000 0.000 12.504
Rh Al Pd
3 4 1
direct
0.500 0.500 0.255
0.500 0.500 0.500
0.500 0.500 0.745
0.000 0.000 0.868
0.000 0.000 0.132
0.000 0.000 0.377
0.000 0.000 0.623
0.500 0.500 0.000

---

Entry 5:
Al3Pd2Rh GGA-PBE relaxed; theoretical density = 7.73 g cm⁻³; uncorrected energy = -5.75 eV/atom; symmetry = P4/mmm (123); energy relative to the elements = -5.6 eV per formula unit; spin magnetization = 0.0 μB/cell; polymorph energy (0 for the lowest one) = 0.0 meV per atom
1.0
-2.137 1.923 -0.898
-1.499 -0.465 2.571
4.688 7.088 4.015
Al Pd Rh
3 2 1
direct
0.000 0.000 0.000
0.000 0.000 0.661
0.000 0.000 0.339
0.500 0.500 0.829
0.500 0.500 0.171
0.500 0.500 0.500

---

Entry 6:
Al3Pd2Rh GGA-PBE relaxed; theoretical density = 7.71 g cm⁻³; uncorrected energy = -5.74 eV/atom; symmetry = P-3m1 (164); energy relative to the elements = -5.5 eV per formula unit; spin magnetization = 0.0 μB/cell; polymorph energy (0 for the lowest one) = 15.4 meV per atom
1.0
4.323 0.000 0.000
-2.161 3.743 0.000
0.000 0.000 5.277
Al Pd Rh
3 2 1
direct
0.000 0.000 0.500
0.667 0.333 0.840
0.333 0.667 0.160
0.667 0.333 0.333
0.333 0.667 0.667
0.000 0.000 0.000

---

Entry 7:
Al4PdRh GGA-PBE relaxed; theoretical density = 5.98 g cm⁻³; uncorrected energy = -5.28 eV/atom; symmetry = C2/m (12); energy relative to the elements = -4.2 eV per formula unit; spin magnetization = 0.0 μB/cell
1.0
-0.546 -2.929 1.193
-2.573 -2.525 -3.059
5.928 -3.046 -0.445
Al Pd Rh
4 1 1
direct
0.835 0.504 0.826
0.325 0.014 0.335
0.165 0.496 0.174
0.675 0.986 0.665
0.000 0.000 0.000
0.500 0.500 0.500

---

Entry 8:
Al6PdRh5 GGA-PBE relaxed; theoretical density = 7.90 g cm⁻³; uncorrected energy = -6.41 eV/atom; symmetry = Immm (71); energy relative to the elements = -12.5 eV per formula unit; spin magnetization = 0.0 μB/cell
1.0
-4.146 -0.664 -0.863
1.236 -0.137 -5.832
2.400 -5.959 3.698
Rh Al Pd
5 6 1
direct
0.666 0.166 0.333
0.335 0.335 0.670
0.000 0.500 0.000
0.665 0.665 0.330
0.334 0.834 0.667
0.831 0.579 0.663
0.831 0.083 0.663
0.500 0.746 0.000
0.500 0.254 0.000
0.169 0.917 0.337
0.169 0.421 0.337
0.000 0.000 0.000